A PBEsol-optimized structure of Na3BeHg, computed with meta-GGA SCAN.

```
Na3BeHg
1.0
-4.497 3.122 0.994
-1.809 -3.773 3.668
2.732 2.641 4.064
Be Na Hg
1 3 1
direct
0.500 0.500 0.500
0.500 0.000 0.000
0.000 0.500 0.000
0.000 0.000 0.500
0.000 0.000 0.000
```

- Energy of formation from the pure elements: 0.58 eV per atom
- Density of states at the Fermi level: 2.5 states/eV/f.u.
- Energy: -16.46 eV/atom

A PBEsol-optimized structure of CaFe3Se, computed with meta-GGA SCAN.

```
CaFe3Se
1.0
-3.020 -0.568 3.298
1.879 -3.964 1.038
2.769 2.070 2.893
Fe Se Ca
3 1 1
direct
0.500 0.000 0.000
0.000 0.500 0.000
0.000 0.000 0.500
0.500 0.500 0.500
0.000 0.000 0.000
```

- Energy relative to the elements, uncorrected: 2.01 eV/atom
- Density of states at the Fermi level: 5.4 states/eV/f.u.
- Energy: -14.81 eV/atom

Copy entry 1 word for word.
A PBEsol-optimized structure of Na3BeHg, computed with meta-GGA SCAN.

```
Na3BeHg
1.0
-4.497 3.122 0.994
-1.809 -3.773 3.668
2.732 2.641 4.064
Be Na Hg
1 3 1
direct
0.500 0.500 0.500
0.500 0.000 0.000
0.000 0.500 0.000
0.000 0.000 0.500
0.000 0.000 0.000
```

- Energy of formation from the pure elements: 0.58 eV per atom
- Density of states at the Fermi level: 2.5 states/eV/f.u.
- Energy: -16.46 eV/atom